1) # CdAg3Br6 GGA-PBE optimized geometry
# - Theoretical density: 5.427 g cm⁻³
# - Crystal system: monoclinic
# - V: 28.01 Å³/atom
data_CdAg3Br6
_cell_length_a 7.051
_cell_length_b 7.064
_cell_length_c 11.251
_cell_angle_alpha 90.00
_cell_angle_beta 88.65
_cell_angle_gamma 90.00
_space_group_name_H-M_alt 'P 1'
_space_group_IT_number 1
loop_
_space_group_symop_operation_xyz
'x,y,z'
loop_
_atom_site_label
_atom_site_type_symbol
_atom_site_fract_x
_atom_site_fract_y
_atom_site_fract_z
Cd1 Cd 0.500 0.500 0.500
Cd2 Cd 0.000 0.000 0.000
Ag1 Ag 0.501 0.952 0.758
Ag2 Ag 0.500 0.500 0.000
Ag3 Ag 0.499 0.048 0.242
Ag4 Ag 0.001 0.548 0.258
Ag5 Ag 0.000 0.000 0.500
Ag6 Ag 0.999 0.452 0.742
Br1 Br 0.661 0.180 0.933
Br2 Br 0.683 0.174 0.590
Br3 Br 0.632 0.406 0.272
Br4 Br 0.368 0.594 0.728
Br5 Br 0.317 0.826 0.410
Br6 Br 0.339 0.820 0.067
Br7 Br 0.161 0.320 0.433
Br8 Br 0.183 0.326 0.090
Br9 Br 0.132 0.094 0.772
Br10 Br 0.868 0.906 0.228
Br11 Br 0.817 0.674 0.910
Br12 Br 0.839 0.680 0.567

***

2) # CdAg3Br6 GGA-PBE optimized geometry
# - Theoretical density: 5.352 g cm⁻³
# - Crystal system: trigonal
# - V: 28.40 Å³/atom
data_CdAg3Br6
_cell_length_a 7.073
_cell_length_b 7.073
_cell_length_c 7.724
_cell_angle_alpha 62.75
_cell_angle_beta 62.75
_cell_angle_gamma 60.00
_space_group_name_H-M_alt 'P 1'
_space_group_IT_number 1
loop_
_space_group_symop_operation_xyz
'x,y,z'
loop_
_atom_site_label
_atom_site_type_symbol
_atom_site_fract_x
_atom_site_fract_y
_atom_site_fract_z
Cd1 Cd 0.170 0.170 0.490
Ag1 Ag 0.530 0.530 0.410
Ag2 Ag 0.354 0.354 0.939
Ag3 Ag 0.852 0.852 0.445
Br1 Br 0.448 0.101 0.694
Br2 Br 0.101 0.758 0.694
Br3 Br 0.758 0.448 0.694
Br4 Br 0.582 0.957 0.212
Br5 Br 0.957 0.250 0.212
Br6 Br 0.250 0.582 0.212

***

Stability ranking, top and bottom: 2) is the most stable and 1) is the least stable.

***

1) # Rb2CdAgBr6 GGA-PBE optimized geometry
# - Theoretical density: 4.272 g cm⁻³
# - Crystal system: monoclinic
# - V: 33.84 Å³/atom
data_Rb2CdAgBr6
_cell_length_a 8.052
_cell_length_b 7.765
_cell_length_c 10.833
_cell_angle_alpha 90.00
_cell_angle_beta 87.95
_cell_angle_gamma 90.00
_space_group_name_H-M_alt 'P 1'
_space_group_IT_number 1
loop_
_space_group_symop_operation_xyz
'x,y,z'
loop_
_atom_site_label
_atom_site_type_symbol
_atom_site_fract_x
_atom_site_fract_y
_atom_site_fract_z
Rb1 Rb 0.005 0.963 0.252
Rb2 Rb 0.505 0.537 0.752
Rb3 Rb 0.995 0.037 0.748
Rb4 Rb 0.495 0.463 0.248
Cd1 Cd 0.500 0.000 0.000
Cd2 Cd 0.000 0.500 0.500
Ag1 Ag 0.500 0.000 0.500
Ag2 Ag 0.000 0.500 0.000
Br1 Br 0.299 0.736 0.035
Br2 Br 0.799 0.764 0.535
Br3 Br 0.701 0.264 0.965
Br4 Br 0.201 0.236 0.465
Br5 Br 0.292 0.729 0.469
Br6 Br 0.792 0.771 0.969
Br7 Br 0.708 0.271 0.531
Br8 Br 0.208 0.229 0.031
Br9 Br 0.931 0.510 0.240
Br10 Br 0.431 0.990 0.740
Br11 Br 0.069 0.490 0.760
Br12 Br 0.569 0.010 0.260

***

2) # Rb2CdAgBr6 GGA-PBE optimized geometry
# - Theoretical density: 4.308 g cm⁻³
# - Crystal system: tetragonal
# - V: 33.56 Å³/atom
data_Rb2CdAgBr6
_cell_length_a 7.806
_cell_length_b 7.806
_cell_length_c 7.798
_cell_angle_alpha 59.97
_cell_angle_beta 59.97
_cell_angle_gamma 90.00
_space_group_name_H-M_alt 'P 1'
_space_group_IT_number 1
loop_
_space_group_symop_operation_xyz
'x,y,z'
loop_
_atom_site_label
_atom_site_type_symbol
_atom_site_fract_x
_atom_site_fract_y
_atom_site_fract_z
Br1 Br 0.252 0.252 0.496
Br2 Br 0.748 0.748 0.504
Br3 Br 0.250 0.250 0.000
Br4 Br 0.750 0.750 0.000
Br5 Br 0.750 0.250 0.000
Br6 Br 0.250 0.750 0.000
Rb1 Rb 0.750 0.250 0.500
Rb2 Rb 0.250 0.750 0.500
Ag1 Ag 0.500 0.500 0.000
Cd1 Cd 0.000 0.000 0.000

***

Stability ranking, top and bottom: 1) is the most stable and 2) is the least stable.

***

1) # Ce2AgBr8 GGA-PBE optimized geometry
# - Theoretical density: 4.632 g cm⁻³
# - Crystal system: monoclinic
# - V: 33.48 Å³/atom
data_Ce2AgBr8
_cell_length_a 4.112
_cell_length_b 8.694
_cell_length_c 10.515
_cell_angle_alpha 87.55
_cell_angle_beta 101.27
_cell_angle_gamma 90.00
_space_group_name_H-M_alt 'P 1'
_space_group_IT_number 1
loop_
_space_group_symop_operation_xyz
'x,y,z'
loop_
_atom_site_label
_atom_site_type_symbol
_atom_site_fract_x
_atom_site_fract_y
_atom_site_fract_z
Ce1 Ce 0.160 0.688 0.320
Ce2 Ce 0.840 0.312 0.680
Ag1 Ag 0.500 0.000 0.000
Br1 Br 0.602 0.504 0.204
Br2 Br 0.347 0.062 0.694
Br3 Br 0.231 0.342 0.461
Br4 Br 0.020 0.789 0.041
Br5 Br 0.769 0.658 0.539
Br6 Br 0.653 0.938 0.306
Br7 Br 0.398 0.496 0.796
Br8 Br 0.980 0.211 0.959

***

2) # Ce2AgBr8 GGA-PBE optimized geometry
# - Theoretical density: 3.641 g cm⁻³
# - Crystal system: monoclinic
# - V: 42.59 Å³/atom
data_Ce2AgBr8
_cell_length_a 5.831
_cell_length_b 9.147
_cell_length_c 9.147
_cell_angle_alpha 73.83
_cell_angle_beta 90.45
_cell_angle_gamma 90.45
_space_group_name_H-M_alt 'P 1'
_space_group_IT_number 1
loop_
_space_group_symop_operation_xyz
'x,y,z'
loop_
_atom_site_label
_atom_site_type_symbol
_atom_site_fract_x
_atom_site_fract_y
_atom_site_fract_z
Ce1 Ce 0.244 0.223 0.223
Ce2 Ce 0.756 0.777 0.777
Ag1 Ag 0.000 0.000 0.000
Br1 Br 0.778 0.089 0.713
Br2 Br 0.222 0.287 0.911
Br3 Br 0.741 0.216 0.216
Br4 Br 0.259 0.784 0.784
Br5 Br 0.778 0.713 0.089
Br6 Br 0.222 0.911 0.287
Br7 Br 0.250 0.406 0.406
Br8 Br 0.750 0.594 0.594

***

Stability ranking, top and bottom: 1) is the most stable and 2) is the least stable.

***

1) # Cs2CeAgBr6 GGA-PBE optimized geometry
# - Theoretical density: 4.261 g cm⁻³
# - Crystal system: cubic
# - V: 38.71 Å³/atom
data_Cs2CeAgBr6
_cell_length_a 8.181
_cell_length_b 8.181
_cell_length_c 8.181
_cell_angle_alpha 60.00
_cell_angle_beta 60.00
_cell_angle_gamma 60.00
_space_group_name_H-M_alt 'P 1'
_space_group_IT_number 1
loop_
_space_group_symop_operation_xyz
'x,y,z'
loop_
_atom_site_label
_atom_site_type_symbol
_atom_site_fract_x
_atom_site_fract_y
_atom_site_fract_z
Cs1 Cs 0.750 0.750 0.750
Cs2 Cs 0.250 0.250 0.250
Ce1 Ce 0.500 0.500 0.500
Ag1 Ag 0.000 0.000 0.000
Br1 Br 0.751 0.249 0.249
Br2 Br 0.249 0.249 0.751
Br3 Br 0.249 0.751 0.751
Br4 Br 0.249 0.751 0.249
Br5 Br 0.751 0.249 0.751
Br6 Br 0.751 0.751 0.249

***

2) # Cs2CeAgBr6 GGA-PBE optimized geometry
# - Theoretical density: 4.253 g cm⁻³
# - Crystal system: trigonal
# - V: 38.78 Å³/atom
data_Cs2CeAgBr6
_cell_length_a 6.920
_cell_length_b 8.044
_cell_length_c 8.044
_cell_angle_alpha 120.00
_cell_angle_beta 90.00
_cell_angle_gamma 90.00
_space_group_name_H-M_alt 'P 1'
_space_group_IT_number 1
loop_
_space_group_symop_operation_xyz
'x,y,z'
loop_
_atom_site_label
_atom_site_type_symbol
_atom_site_fract_x
_atom_site_fract_y
_atom_site_fract_z
Cs1 Cs 0.233 0.333 0.667
Cs2 Cs 0.767 0.667 0.333
Ce1 Ce 0.500 0.000 0.000
Ag1 Ag 0.000 0.000 0.000
Br1 Br 0.749 0.169 0.337
Br2 Br 0.749 0.169 0.831
Br3 Br 0.749 0.663 0.831
Br4 Br 0.251 0.831 0.169
Br5 Br 0.251 0.337 0.169
Br6 Br 0.251 0.831 0.663

***

Stability ranking, top and bottom: 2) is the most stable and 1) is the least stable.